## RbSr2GaRh (PBE-GGA)

Data for a relaxed structure of RbSr2GaRh.

**SG**: P4/mmm (123)
**Energy of formation**: -0.1575 eV/atom
**Magnetization**: 0.41 μB/cell

Lattice parameters (Å, degrees): 5.959 5.959 5.031 90.00 90.00 90.00
Element x y z (fractional)
Rh 0.000 0.000 0.000
Sr 0.000 0.500 0.000
Sr 0.500 0.000 0.000
Ga 0.000 0.000 0.500
Rb 0.500 0.500 0.500